Material: Ac6Ge2PbSe3
Method: DFT, PBE
State: optimized geometry

abc: 4.6067 9.2399 10.2901
angles: 102.10 102.93 90.00
Fractional positions:
Ac: 0.0038 0.2600 0.0076
Ac: 0.6698 0.0962 0.3396
Ge: 0.1670 0.3353 0.3340
Ac: 0.9962 0.7400 0.9924
Ac: 0.3296 0.4229 0.6591
Pb: 0.5000 0.0000 0.0000
Se: 0.8339 0.1672 0.6679
Se: 0.5000 0.5000 0.0000
Se: 0.1661 0.8328 0.3321
Ac: 0.3302 0.9038 0.6604
Ac: 0.6704 0.5771 0.3409
Ge: 0.8330 0.6647 0.6660

Computed properties:
E_tot (eV/cell): -63.596
Magnetic moment (Bohr magnetons per cell): 0.00
Space-group type: C2/m (12)
Formation energy without anion corrections (eV/atom): -1.2958
Calculated density (Mg/m³): 7.77



Material: LiTcPt
Method: DFT, PBE
State: optimized geometry

abc: 4.4407 4.4407 5.4623
angles: 90.00 90.00 120.00
Fractional positions:
Tc: 0.3333 0.6667 0.2011
Li: 0.6667 0.3333 0.5000
Tc: 0.3333 0.6667 0.7989
Pt: 0.0000 0.0000 0.2455
Pt: 0.0000 0.0000 0.7545
Li: 0.6667 0.3333 0.0000

Computed properties:
E_tot (eV/cell): -36.889
Magnetic moment (Bohr magnetons per cell): 0.00
Space-group type: P-6m2 (187)
Offset from the most stable computed form (kJ/mol of formula units): 57.5
Formation energy (eV/f.u.): -0.12
Calculated density (Mg/m³): 10.68



Material: U2Fe2C3
Method: DFT, PBE
State: optimized geometry

abc: 3.1208 5.1611 5.9267
angles: 115.19 105.27 90.00
Fractional positions:
C: 0.7484 0.2595 0.4967
Fe: 0.8338 0.6749 0.6677
C: 0.0000 0.0000 0.0000
C: 0.2516 0.7405 0.5033
U: 0.5910 0.7717 0.1821
Fe: 0.1662 0.3251 0.3323
U: 0.4090 0.2283 0.8179

Computed properties:
E_tot (eV/cell): -68.272
Magnetic moment (Bohr magnetons per cell): 0.00
Space-group type: C2/m (12)
Formation energy (eV/f.u.): -1.10
Calculated density (Mg/m³): 12.53



Material: MgTiH6O2F6
Method: DFT, PBE
State: optimized geometry

abc: 5.8213 5.8213 6.1994
angles: 90.00 90.00 120.00
Each line ends with the local moment (μB).
Fractional positions:
H: 0.1578 0.6834 0.7295  0.00
F: 0.2390 0.3260 0.2313  0.00
H: 0.8283 0.5110 0.2549  0.00
H: 0.3166 0.4744 0.7295  0.00
O: 0.6667 0.3333 0.2978  0.00
O: 0.3333 0.6667 0.6641  0.00
Mg: 0.3333 0.6667 0.3435  0.00
H: 0.4890 0.3174 0.2549  0.00
F: 0.9670 0.7003 0.7923  0.01
Ti: 0.0000 0.0000 0.9934  1.66
F: 0.0869 0.7610 0.2313  0.00
F: 0.6740 0.9131 0.2313  0.00
F: 0.7333 0.0330 0.7923  0.01
F: 0.2997 0.2667 0.7923  0.01
H: 0.5256 0.8422 0.7295  0.00
H: 0.6826 0.1717 0.2549  0.00

Computed properties:
E_tot (eV/cell): -80.655
Magnetic moment (Bohr magnetons per cell): 1.96
Space-group type: P3 (143)
Offset from the most stable computed form (kJ/mol of formula units): 0.0
Calculated density (Mg/m³): 2.05



Material: B2C3
Method: DFT, PBE
State: optimized geometry

abc: 3.8206 4.4590 4.4681
angles: 85.64 111.11 115.56
Fractional positions:
C: 0.9615 0.2944 0.1043
C: 0.3826 0.6059 0.1805
B: 0.7368 0.5882 0.4904
C: 0.0903 0.0526 0.6992
C: 0.0004 0.9857 0.0137
B: 0.2868 0.8367 0.6130
C: 0.3250 0.8993 0.2711
B: 0.8037 0.1985 0.4245
B: 0.6035 0.3459 0.8141
C: 0.5595 0.6927 0.8891

Computed properties:
E_tot (eV/cell): -78.312
Magnetic moment (Bohr magnetons per cell): 0.00
Space-group type: P1 (1)
Offset from the most stable computed form (kJ/mol of formula units): 66.5
Formation energy (eV/f.u.): 1.87
Calculated density (Mg/m³): 3.00



Material: HIBr
Method: DFT, PBE
State: optimized geometry

abc: 6.1210 4.8490 8.6789
angles: 89.94 90.00 129.14
Fractional positions:
H: 0.9067 0.8134 0.7507
H: 0.0933 0.1866 0.2493
I: 0.3691 0.7382 0.2494
Br: 0.1218 0.2436 0.7507
Br: 0.8782 0.7564 0.2493
I: 0.6309 0.2618 0.7506

Computed properties:
E_tot (eV/cell): -13.157
Magnetic moment (Bohr magnetons per cell): 0.00
Space-group type: C2/m (12)
Offset from the most stable computed form (kJ/mol of formula units): 40.3
Calculated density (Mg/m³): 3.45



Material: Be3Tl
Method: DFT, PBE
State: optimized geometry

abc: 4.8601 4.8601 10.8481
angles: 90.00 90.00 120.00
Fractional positions:
Be: 0.5000 0.5000 0.0000
Be: 0.5000 0.5000 0.5000
Tl: 0.3333 0.6667 0.2500
Be: 0.0000 0.5000 0.0000
Be: 0.3400 0.1700 0.2500
Be: 0.0000 0.5000 0.5000
Be: 0.5000 0.0000 0.5000
Be: 0.1700 0.3400 0.7500
Be: 0.5000 0.0000 0.0000
Tl: 0.6667 0.3333 0.7500
Tl: 0.0000 0.0000 0.0000
Tl: 0.0000 0.0000 0.5000
Be: 0.8300 0.1700 0.2500
Be: 0.6600 0.8300 0.7500
Be: 0.1700 0.8300 0.7500
Be: 0.8300 0.6600 0.2500

Computed properties:
E_tot (eV/cell): -43.253
Magnetic moment (Bohr magnetons per cell): 0.00
Space-group type: P6_3/mmc (194)
Offset from the most stable computed form (kJ/mol of formula units): 126.1
Formation energy (eV/f.u.): 2.73
Calculated density (Mg/m³): 6.93



Material: TaAg4Hg
Method: DFT, PBE
State: optimized geometry

abc: 5.4307 5.4307 5.4307
angles: 60.00 60.00 60.00
Each line ends with the local moment (μB).
Fractional positions:
Ag: 0.3746 0.8761 0.3746  0.01
Ta: 0.0000 0.0000 0.0000  0.65
Ag: 0.3746 0.3746 0.3746  0.01
Ag: 0.3746 0.3746 0.8761  0.01
Hg: 0.7500 0.7500 0.7500  -0.01
Ag: 0.8761 0.3746 0.3746  0.01

Computed properties:
E_tot (eV/cell): -20.291
Magnetic moment (Bohr magnetons per cell): 0.85
Space-group type: F-43m (216)
Formation energy (eV/f.u.): 3.27
Calculated density (Mg/m³): 11.92



Material: PmTh3Bi3
Method: DFT, PBE
State: optimized geometry

abc: 9.4367 9.4367 8.1554
angles: 54.65 54.65 60.00
Fractional positions:
Th: 0.9287 0.6753 0.2566
Th: 0.0713 0.3247 0.7434
Bi: 0.6615 0.4650 0.7556
Bi: 0.5350 0.8821 0.2444
Bi: 0.4650 0.1179 0.7556
Th: 0.6753 0.1395 0.2566
Th: 0.1395 0.9287 0.2566
Th: 0.8605 0.0713 0.7434
Th: 0.3247 0.8605 0.7434
Pm: 0.3009 0.3009 0.0974
Pm: 0.6991 0.6991 0.9026
Bi: 0.8821 0.3385 0.2444
Bi: 0.3385 0.5350 0.2444
Bi: 0.1179 0.6615 0.7556

Computed properties:
E_tot (eV/cell): -83.459
Magnetic moment (Bohr magnetons per cell): 0.00
Space-group type: R-3 (148)
Formation energy (eV/f.u.): -3.08
Calculated density (Mg/m³): 10.42



Material: HAu2S
Method: DFT, PBE
State: optimized geometry

abc: 4.3972 4.3972 4.3972
angles: 60.00 60.00 60.00
Each line ends with the local moment (μB).
Fractional positions:
S: 0.5000 0.5000 0.5000  0.05
Au: 0.7500 0.7500 0.7500  0.04
Au: 0.2500 0.2500 0.2500  0.04
H: 0.0000 0.0000 0.0000  0.08

Computed properties:
E_tot (eV/cell): -10.953
Magnetic moment (Bohr magnetons per cell): 0.33
Space-group type: Fm-3m (225)
Offset from the most stable computed form (kJ/mol of formula units): 178.5
Calculated density (Mg/m³): 11.79



Material: NaTa3Tl
Method: DFT, PBE
State: optimized geometry

abc: 4.7159 4.7159 4.7159
angles: 90.00 90.00 90.00
Fractional positions:
Na: 0.0000 0.0000 0.0000
Ta: 0.0000 0.5000 0.0000
Tl: 0.5000 0.5000 0.5000
Ta: 0.5000 0.0000 0.0000
Ta: 0.0000 0.0000 0.5000

Computed properties:
E_tot (eV/cell): -28.236
Magnetic moment (Bohr magnetons per cell): 0.00
Space-group type: Pm-3m (221)
Offset from the most stable computed form (kJ/mol of formula units): 0.0
Formation energy (eV/f.u.): 11.01
Calculated density (Mg/m³): 12.19



Material: TcAsOsBr2
Method: DFT, PBE
State: optimized geometry

abc: 5.2197 5.2197 4.6709
angles: 90.00 90.00 90.00
Each line ends with the local moment (μB).
Fractional positions:
Br: 0.5000 0.0000 0.0000  0.06
Br: 0.0000 0.5000 0.0000  0.06
As: 0.0000 0.0000 0.5000  -0.02
Tc: 0.5000 0.5000 0.5000  3.83
Os: 0.0000 0.0000 0.0000  0.07

Computed properties:
E_tot (eV/cell): -23.267
Magnetic moment (Bohr magnetons per cell): 4.70
Space-group type: P4/mmm (123)
Formation energy without anion corrections (eV/atom): 1.2648
Offset from the most stable computed form (kJ/mol of formula units): 0.0
Calculated density (Mg/m³): 6.82



Material: Tb2Sm5Th4
Method: DFT, PBE
State: optimized geometry

abc: 3.6053 8.8101 11.9230
angles: 104.15 98.70 90.00
Fractional positions:
Th: 0.3178 0.5466 0.6357
Tb: 0.5874 0.7134 0.1748
Tb: 0.4126 0.2866 0.8252
Th: 0.6822 0.4534 0.3643
Th: 0.9530 0.6348 0.9060
Sm: 0.2255 0.8078 0.4511
Sm: 0.8628 0.9013 0.7256
Sm: 0.1372 0.0987 0.2744
Sm: 0.7745 0.1922 0.5489
Sm: 0.5000 0.0000 0.0000
Th: 0.0470 0.3652 0.0940

Computed properties:
E_tot (eV/cell): -62.202
Magnetic moment (Bohr magnetons per cell): 0.00
Space-group type: C2/m (12)
Formation energy (eV/f.u.): 0.33
Calculated density (Mg/m³): 9.15



Material: NaZrAgC2
Method: DFT, PBE
State: optimized geometry

abc: 4.2720 4.6098 4.2720
angles: 90.00 90.00 90.00
Fractional positions:
Na: 0.0000 0.0000 0.0000
C: 0.0000 0.0000 0.5000
Ag: 0.5000 0.5000 0.5000
Zr: 0.0000 0.5000 0.0000
C: 0.5000 0.0000 0.0000

Computed properties:
E_tot (eV/cell): -17.407
Magnetic moment (Bohr magnetons per cell): 0.00
Space-group type: P4/mmm (123)
Formation energy (eV/f.u.): 13.76
Calculated density (Mg/m³): 4.86



Material: PrTm2PuSb4
Method: DFT, PBE
State: optimized geometry

abc: 4.4278 7.6333 7.6546
angles: 70.46 90.00 90.00
Each line ends with the local moment (μB).
Fractional positions:
Tm: 0.0000 0.0000 0.0000  -0.07
Sb: 0.5000 0.7584 0.2514  -0.06
Pu: 0.0000 0.5000 0.5000  5.21
Pr: 0.5000 0.5000 0.0000  0.01
Sb: 0.0000 0.2385 0.2581  -0.03
Sb: 0.5000 0.2416 0.7486  -0.06
Tm: 0.5000 0.0000 0.5000  -0.02
Sb: 0.0000 0.7615 0.7419  -0.03

Computed properties:
E_tot (eV/cell): -52.291
Magnetic moment (Bohr magnetons per cell): 5.05
Space-group type: P2/m (10)
Formation energy without anion corrections (eV/atom): -0.9684
Calculated density (Mg/m³): 8.24



Material: CrPd14Au
Method: DFT, PBE
State: optimized geometry

abc: 5.6133 5.6133 7.8418
angles: 90.00 90.00 90.00
Each line ends with the local moment (μB).
Fractional positions:
Au: 0.8750 0.8750 0.5000  -0.01
Pd: 0.1289 0.6211 0.7483  -0.18
Pd: 0.6211 0.1289 0.7483  -0.18
Pd: 0.1289 0.1289 0.7482  -0.18
Pd: 0.8750 0.8750 0.0000  -0.29
Pd: 0.6211 0.1289 0.2517  -0.18
Pd: 0.3750 0.3750 0.0000  -0.14
Pd: 0.6211 0.6211 0.7482  -0.18
Cr: 0.3750 0.3750 0.5000  2.97
Pd: 0.1289 0.6211 0.2517  -0.18
Pd: 0.8750 0.3750 0.0000  -0.23
Pd: 0.3750 0.8750 0.0000  -0.23
Pd: 0.6211 0.6211 0.2518  -0.18
Pd: 0.3750 0.8750 0.5000  -0.12
Pd: 0.1289 0.1289 0.2518  -0.18
Pd: 0.8750 0.3750 0.5000  -0.12

Computed properties:
E_tot (eV/cell): -85.954
Magnetic moment (Bohr magnetons per cell): 0.66
Space-group type: P4/mmm (123)
Formation energy (eV/f.u.): -0.35
Calculated density (Mg/m³): 11.69



Material: VCo2Se6
Method: DFT, PBE
State: optimized geometry

abc: 4.3955 5.9897 7.9238
angles: 70.40 73.90 68.47
Each line ends with the local moment (μB).
Fractional positions:
Se: 0.6490 0.2948 0.4071  -0.08
Co: 0.1854 0.7397 0.8895  0.08
Co: 0.8146 0.2603 0.1105  0.08
Se: 0.9888 0.8195 0.2030  -0.06
Se: 0.3510 0.7052 0.5929  -0.08
V: 0.0000 0.5000 0.5000  1.71
Se: 0.0112 0.1805 0.7970  -0.06
Se: 0.6582 0.6913 0.9924  -0.02
Se: 0.3418 0.3087 0.0076  -0.02

Computed properties:
E_tot (eV/cell): -45.960
Magnetic moment (Bohr magnetons per cell): 1.72
Space-group type: C2/m (12)
Formation energy without anion corrections (eV/atom): -0.1914
Calculated density (Mg/m³): 5.93



Material: Sr2AuN
Method: DFT, PBE
State: optimized geometry

abc: 7.3199 7.3199 6.7088
angles: 56.94 56.94 90.00
Fractional positions:
N: 0.5000 0.5000 0.0000
Sr: 0.8750 0.7909 0.7500
Sr: 0.5409 0.1250 0.2500
Sr: 0.3750 0.4591 0.7500
Sr: 0.2091 0.6250 0.2500
Au: 0.7500 0.2500 0.5000
Au: 0.0000 0.0000 0.0000
N: 0.2500 0.7500 0.5000

Computed properties:
E_tot (eV/cell): -33.826
Magnetic moment (Bohr magnetons per cell): 0.00
Space-group type: I-42d (122)
Formation energy without anion corrections (eV/atom): -0.4867
Calculated density (Mg/m³): 5.61



Material: Ac3GaGe2Pd9
Method: DFT, PBE
State: optimized geometry

abc: 6.5500 6.5500 9.0740
angles: 90.00 90.00 120.00
Fractional positions:
Ga: 0.0000 0.0000 0.5000
Pd: 0.0000 0.5000 0.0000
Pd: 0.5000 0.0000 0.0000
Ge: 0.6667 0.3333 0.8184
Ac: 0.6667 0.3333 0.3182
Ac: 0.0000 0.0000 0.0000
Pd: 0.8578 0.7156 0.7089
Ac: 0.3333 0.6667 0.6818
Pd: 0.5000 0.5000 0.0000
Pd: 0.7156 0.8578 0.2911
Pd: 0.1422 0.8578 0.2911
Pd: 0.1422 0.2844 0.2911
Pd: 0.8578 0.1422 0.7089
Pd: 0.2844 0.1422 0.7089
Ge: 0.3333 0.6667 0.1816

Computed properties:
E_tot (eV/cell): -81.122
Magnetic moment (Bohr magnetons per cell): 0.00
Space-group type: P-3m1 (164)
Formation energy (eV/f.u.): -9.80
Calculated density (Mg/m³): 9.13



Material: CsMgPb
Method: DFT, PBE
State: optimized geometry

abc: 5.0966 5.0966 10.1825
angles: 104.49 104.49 90.00
Fractional positions:
Cs: 0.6732 0.6732 0.3463
Mg: 0.5000 0.0000 0.0000
Pb: 0.0903 0.0903 0.1806
Pb: 0.9097 0.9097 0.8194
Cs: 0.3268 0.3268 0.6537
Mg: 0.0000 0.5000 0.0000

Computed properties:
E_tot (eV/cell): -12.896
Magnetic moment (Bohr magnetons per cell): 0.00
Space-group type: I4/mmm (139)
Offset from the most stable computed form (kJ/mol of formula units): 10.9
Formation energy (eV/f.u.): -0.29
Calculated density (Mg/m³): 4.89



Material: CdTeRhN2
Method: DFT, PBE
State: optimized geometry

abc: 4.0963 4.0963 6.3896
angles: 90.00 90.00 90.00
Each line ends with the local moment (μB).
Fractional positions:
N: 0.0000 0.5000 0.0000  1.12
Cd: 0.0000 0.0000 0.0000  0.06
Rh: 0.5000 0.5000 0.5000  0.12
Te: 0.0000 0.0000 0.5000  0.06
N: 0.5000 0.0000 0.0000  1.12

Computed properties:
E_tot (eV/cell): -18.457
Magnetic moment (Bohr magnetons per cell): 3.48
Space-group type: P4/mmm (123)
Formation energy without anion corrections (eV/atom): 1.9205
Offset from the most stable computed form (kJ/mol of formula units): 452.3
Calculated density (Mg/m³): 5.74



Material: MnCu2AgI6
Method: DFT, PBE
State: optimized geometry

abc: 7.3290 9.4059 9.4059
angles: 86.65 82.20 82.20
Each line ends with the local moment (μB).
Fractional positions:
I: 0.3725 0.5434 0.7173  -0.02
I: 0.1275 0.2827 0.4566  -0.02
Mn: 0.2500 0.2650 0.7350  4.10
Mn: 0.7500 0.7350 0.2650  4.10
Ag: 0.7500 0.0850 0.9150  -0.03
I: 0.6354 0.7825 0.9722  -0.03
Cu: 0.2007 0.7671 0.5924  -0.10
I: 0.3646 0.2175 0.0278  -0.03
Cu: 0.2993 0.4076 0.2329  -0.10
Cu: 0.7007 0.5924 0.7671  -0.10
Ag: 0.2500 0.9150 0.0850  -0.03
I: 0.8725 0.7173 0.5434  -0.02
I: 0.4014 0.8667 0.3712  -0.03
I: 0.9014 0.3712 0.8667  -0.03
I: 0.1354 0.9722 0.7825  -0.03
I: 0.8646 0.0278 0.2175  -0.03
I: 0.0986 0.6288 0.1333  -0.03
I: 0.6275 0.4566 0.2827  -0.02
I: 0.5986 0.1333 0.6288  -0.03
Cu: 0.7993 0.2329 0.4076  -0.10

Computed properties:
E_tot (eV/cell): -63.314
Magnetic moment (Bohr magnetons per cell): 8.02
Space-group type: C2/c (15)
Formation energy without anion corrections (eV/atom): -0.2143
Calculated density (Mg/m³): 5.49



Material: Ti4Co5Tc
Method: DFT, PBE
State: optimized geometry

abc: 3.0325 3.0325 14.2354
angles: 90.00 90.00 90.00
Each line ends with the local moment (μB).
Fractional positions:
Co: 0.5000 0.5000 0.8996  1.28
Co: 0.5000 0.5000 0.7012  0.21
Ti: 0.0000 0.0000 0.1959  -0.07
Co: 0.5000 0.5000 0.1004  1.28
Ti: 0.0000 0.0000 0.6009  0.00
Ti: 0.0000 0.0000 0.8041  -0.07
Co: 0.5000 0.5000 0.2988  0.21
Co: 0.5000 0.5000 0.5000  0.18
Ti: 0.0000 0.0000 0.3991  0.00
Tc: 0.0000 0.0000 0.0000  0.72

Computed properties:
E_tot (eV/cell): -79.939
Magnetic moment (Bohr magnetons per cell): 3.71
Space-group type: P4/mmm (123)
Formation energy (eV/f.u.): -2.46
Calculated density (Mg/m³): 7.41